A plane-wave DFT calculation with PBE-GGA was carried out for TlPRh after structural relaxation.

Cell: 3.430 3.430 5.888 Å, 90.00 90.00 120.00°
Element x y z (fractional)
Tl (0.000, 0.000, 0.000)
P (0.667, 0.333, 0.412)
Rh (0.333, 0.667, 0.604)

Formation energy: -177 meV/atom
Energy relative to the lowest polymorph listed for this composition: 196 meV/atom
Symmetry: P3m1
Volume: 60.0 Å³/f.u.
Density: 9.36 g/cm3
DFT total energy: -5.220 eV per atom


A plane-wave DFT calculation with PBE-GGA was carried out for Tl2PRh2 after structural relaxation.

Cell: 5.995 5.995 5.780 Å, 90.00 90.00 90.00°
Element x y z (fractional)
Tl (0.188, 0.312, 0.000)
Tl (0.312, 0.812, 0.000)
Tl (0.688, 0.188, 0.000)
Tl (0.812, 0.688, 0.000)
P (0.000, 0.000, 0.500)
P (0.500, 0.500, 0.500)
Rh (0.160, 0.660, 0.500)
Rh (0.340, 0.160, 0.500)
Rh (0.660, 0.840, 0.500)
Rh (0.840, 0.340, 0.500)

Formation energy: -34 meV/atom
Symmetry: P4/mbm
Volume: 103.9 Å³/f.u.
Density: 10.32 g/cm3
DFT total energy: -5.003 eV per atom


A plane-wave DFT calculation with PBE-GGA was carried out for TlZn2PRh after structural relaxation.

Cell: 4.760 4.760 4.475 Å, 90.00 90.00 90.00°
Element x y z (fractional)
Tl (0.000, 0.000, 0.000)
Zn (0.000, 0.500, 0.500)
Zn (0.500, 0.000, 0.500)
P (0.500, 0.500, 0.500)
Rh (0.500, 0.500, 0.000)

Formation energy: 149 meV/atom
Symmetry: P4/mmm
Volume: 101.4 Å³/f.u.
Density: 7.68 g/cm3
DFT total energy: -3.386 eV per atom


A plane-wave DFT calculation with PBE-GGA was carried out for Tm3P4Rh7 after structural relaxation.

Cell: 7.694 7.694 9.100 Å, 123.04 123.04 29.54°
Element x y z (fractional)
Tm (0.000, 0.000, 0.000)
Tm (0.331, 0.331, 0.334)
Tm (0.669, 0.669, 0.666)
P (0.109, 0.109, 0.827)
P (0.333, 0.333, 0.727)
P (0.667, 0.667, 0.273)
P (0.891, 0.891, 0.173)
Rh (0.000, 0.000, 0.500)
Rh (0.168, 0.168, 0.420)
Rh (0.301, 0.301, 0.952)
Rh (0.494, 0.494, 0.731)
Rh (0.506, 0.506, 0.269)
Rh (0.699, 0.699, 0.048)
Rh (0.832, 0.832, 0.580)

Formation energy: -1096 meV/atom
Symmetry: C2/m
Volume: 219.4 Å³/f.u.
Density: 10.23 g/cm3
DFT total energy: -7.276 eV per atom


Among the records above, which one has the lowest density? TlZn2PRh


Which value of formation energy does entry 3 give? 149 meV/atom